# 1
Below is a relaxed Tb4YEr2 crystal, with properties calculated at the PBE level.

Output
The calculation puts the formation energy from the elements at 0.54 eV per formula unit. The space group is No. 1. The total energy is -4.796 eV/atom. The offset from the most stable computed form is 0.041 eV/atom. The value obtained for the density of states at the Fermi level is 22.68 states/eV per cell.

a b c (Å): 8.4216 9.8700 9.8617
angles (deg): 144.36 95.35 97.24
Fractional coordinates of all 14 atoms:
Tb 0.9815 0.6778 0.3384
Er 0.6252 0.3114 0.1859
Tb 0.3403 0.0699 0.5170
Er 0.6958 0.3269 0.5508
Tb 0.9095 0.9242 0.2269
Tb 0.4846 0.7167 0.8812
Er 0.1246 0.5089 0.8838
Er 0.5542 0.6099 0.1359
Tb 0.4127 0.7547 0.5572
Tb 0.7655 0.1517 0.7380
Tb 0.8377 0.8915 0.8386
Y 0.0547 0.4904 0.5145
Tb 0.2684 0.1004 0.1903
Y 0.1953 0.2156 0.9414

# 2
Below is a relaxed TbY8Er5 crystal, with properties calculated at the PBE level.

Output
The calculation puts the formation energy from the elements at 3.53 eV per formula unit. The space group is No. 82. The total energy is -5.402 eV/atom. The value obtained for the density of states at the Fermi level is 22.15 states/eV per cell.

a b c (Å): 8.4257 8.4257 8.4257
angles (deg): 111.12 106.22 111.12
Fractional coordinates of all 14 atoms:
Y 0.5255 0.6065 0.2743
Y 0.0810 0.7488 0.4745
Y 0.6678 0.3935 0.9190
Y 0.1671 0.7403 0.0792
Y 0.5732 0.9121 0.8329
Er 0.5000 0.0000 0.5000
Tb 0.2500 0.5000 0.7500
Y 0.7257 0.2512 0.3322
Er 0.8161 0.6791 0.7153
Er 0.2847 0.1008 0.9638
Er 0.8630 0.8992 0.1839
Y 0.9208 0.0879 0.6611
Y 0.3389 0.2597 0.4268
Er 0.0362 0.3209 0.1370

# 3
Below is a relaxed Tb7YEr12 crystal, with properties calculated at the PBE level.

Output
The calculation puts the formation energy from the elements at 14.32 eV per formula unit. The space group is No. 229. The total energy is -3.965 eV/atom. The offset from the most stable computed form is 0.413 eV/atom. The value obtained for the density of states at the Fermi level is 23.59 states/eV per cell.

a b c (Å): 9.6703 9.6703 9.6703
angles (deg): 109.47 109.47 109.47
Fractional coordinates of all 20 atoms:
Tb 0.5000 0.0000 0.5000
Er 0.5006 0.2501 0.2505
Y 0.0000 0.0000 0.0000
Er 0.7499 0.2505 0.0004
Er 0.4994 0.7499 0.7495
Tb 0.5000 0.5000 0.0000
Tb 0.0000 0.5000 0.0000
Er 0.7495 0.9996 0.2501
Er 0.2501 0.7495 0.9996
Er 0.2505 0.5006 0.2501
Er 0.2505 0.0004 0.7499
Tb 0.0000 0.5000 0.5000
Tb 0.0000 0.0000 0.5000
Tb 0.5000 0.5000 0.5000
Er 0.7499 0.7495 0.4994
Er 0.0004 0.7499 0.2505
Er 0.7495 0.4994 0.7499
Tb 0.5000 0.0000 0.0000
Er 0.9996 0.2501 0.7495
Er 0.2501 0.2505 0.5006

# 4
Below is a relaxed Tb2Y7Er3 crystal, with properties calculated at the PBE level.

Output
The calculation puts the formation energy from the elements at 0.96 eV per formula unit. The space group is No. 10. The total energy is -5.603 eV/atom. The offset from the most stable computed form is 0.000 eV/atom. The value obtained for the density of states at the Fermi level is 18.51 states/eV per cell.

a b c (Å): 3.5117 6.3281 17.8874
angles (deg): 75.50 90.00 90.00
Fractional coordinates of all 12 atoms:
Y 0.0000 0.5591 0.1654
Y 0.0000 0.4409 0.8346
Y 0.5000 0.7577 0.4979
Y 0.5000 0.9430 0.8312
Tb 0.5000 0.3883 0.6729
Tb 0.5000 0.6117 0.3271
Er 0.5000 0.5000 0.0000
Y 0.0000 0.0000 0.0000
Y 0.5000 0.0570 0.1688
Er 0.0000 0.1084 0.3423
Er 0.0000 0.8916 0.6577
Y 0.5000 0.2423 0.5021

# 5
Below is a relaxed TbYEr3 crystal, with properties calculated at the PBE level.

Output
The calculation puts the formation energy from the elements at 0.21 eV per formula unit. The space group is No. 15. The total energy is -4.914 eV/atom. The offset from the most stable computed form is 0.040 eV/atom. The value obtained for the density of states at the Fermi level is 37.55 states/eV per cell.

a b c (Å): 6.5030 10.0152 10.0152
angles (deg): 81.38 79.88 79.88
Fractional coordinates of all 20 atoms:
Er 0.1480 0.7227 0.8775
Y 0.0485 0.6775 0.5239
Er 0.5495 0.7868 0.4154
Er 0.4505 0.2132 0.5846
Er 0.6499 0.6149 0.9837
Y 0.9515 0.3225 0.4761
Er 0.3520 0.1225 0.2773
Y 0.4515 0.4761 0.3225
Er 0.8520 0.2773 0.1225
Er 0.9505 0.5846 0.2132
Er 0.8501 0.0163 0.3851
Er 0.3501 0.3851 0.0163
Er 0.1499 0.9837 0.6149
Y 0.5485 0.5239 0.6775
Er 0.6480 0.8775 0.7227
Tb 0.2500 0.8157 0.1843
Er 0.0495 0.4154 0.7868
Tb 0.7500 0.9223 0.0777
Tb 0.7500 0.1843 0.8157
Tb 0.2500 0.0777 0.9223

# 6
Below is a relaxed Tb10Y4Er crystal, with properties calculated at the PBE level.

Output
The calculation puts the formation energy from the elements at 11.21 eV per formula unit. The space group is No. 87. The total energy is -4.368 eV/atom. The value obtained for the density of states at the Fermi level is 17.87 states/eV per cell.

a b c (Å): 7.7119 9.4439 9.4439
angles (deg): 80.40 65.90 65.90
Fractional coordinates of all 15 atoms:
Tb 0.5526 0.1001 0.2979
Tb 0.8505 0.7021 0.1001
Tb 0.9506 0.8999 0.7021
Tb 0.6527 0.2979 0.8999
Tb 0.7500 0.5000 0.5000
Tb 0.2500 0.5000 0.5000
Tb 0.0494 0.1001 0.2979
Y 0.6006 0.1986 0.6002
Tb 0.3473 0.7021 0.1001
Y 0.3994 0.8014 0.3998
Tb 0.1495 0.2979 0.8999
Y 0.2008 0.3998 0.1986
Y 0.7992 0.6002 0.8014
Tb 0.4474 0.8999 0.7021
Er 0.0000 0.0000 0.0000